1.
VASP calculation (PBE-GGA) on an optimized crystal structure of Nd3Ga2Pd3.

Summary:
ΔE_f = -0.794 eV per atom
spin magnetization = 0.000 μB per atom
energy relative to the lowest polymorph listed for this composition = 0.0146 eV/atom
total DFT energy (no corrections) = -5.286 eV per atom
crystal system = orthorhombic

Unit cell a=5.8931 b=5.8931 c=14.6872 alpha=90.00 beta=90.00 gamma=135.58
With the nearest neighbours (Å) after each atom.
Element x y z (fractional)
Nd  0.0830  0.9170  0.6048  7 Pd 3.12-3.40, 4 Ga 3.16-3.25
Nd  0.0830  0.9170  0.8952  7 Pd 3.12-3.40, 4 Ga 3.16-3.25
Nd  0.3684  0.6316  0.7500  5 Pd 3.06-3.24, 4 Ga 3.31
Nd  0.6316  0.3684  0.2500  5 Pd 3.06-3.24, 4 Ga 3.31
Nd  0.9170  0.0830  0.1048  7 Pd 3.12-3.40, 4 Ga 3.16-3.25
Nd  0.9170  0.0830  0.3952  7 Pd 3.12-3.40, 4 Ga 3.16-3.25
Ga  0.2122  0.7878  0.0948  4 Pd 2.58-2.74
Ga  0.2122  0.7878  0.4052  4 Pd 2.58-2.74
Ga  0.7878  0.2122  0.5948  4 Pd 2.58-2.74
Ga  0.7878  0.2122  0.9052  4 Pd 2.58-2.74
Pd  0.3348  0.6652  0.2500  2 Ga 2.64
Pd  0.3827  0.6173  0.5420  3 Ga 2.58-2.74, 1 Pd 2.84
Pd  0.3827  0.6173  0.9580  3 Ga 2.58-2.74, 1 Pd 2.84
Pd  0.6173  0.3827  0.0420  3 Ga 2.58-2.74, 1 Pd 2.84
Pd  0.6173  0.3827  0.4580  3 Ga 2.58-2.74, 1 Pd 2.84
Pd  0.6652  0.3348  0.7500  2 Ga 2.64

=====

2.
VASP calculation (PBE-GGA) on an optimized crystal structure of Ho2Zn16Rh.

Summary:
ΔE_f = -0.265 eV per atom
spin magnetization = 0.000 μB per atom
total DFT energy (no corrections) = -2.207 eV per atom
crystal system = trigonal

Unit cell a=6.7661 b=6.7661 c=6.7661 alpha=82.76 beta=82.76 gamma=82.76
With the nearest neighbours (Å) after each atom.
Element x y z (fractional)
Ho  0.9998  0.9998  0.9998  16 Zn 3.10-3.40
Ho  0.3333  0.3333  0.3333  1 Rh 2.99, 15 Zn 3.19-3.29
Zn  0.0171  0.0171  0.4976  8 Zn 2.56-2.79
Zn  0.0171  0.4976  0.0171  8 Zn 2.56-2.79
Zn  0.1652  0.6570  0.6570  9 Zn 2.55-2.75, 1 Rh 2.69
Zn  0.3089  0.3089  0.8141  8 Zn 2.56-2.73, 1 Rh 2.83
Zn  0.3089  0.8141  0.3089  8 Zn 2.56-2.73, 1 Rh 2.83
Zn  0.3686  0.6585  0.9495  8 Zn 2.55-2.79
Zn  0.3686  0.9495  0.6585  8 Zn 2.55-2.79
Zn  0.4976  0.0171  0.0171  8 Zn 2.56-2.79
Zn  0.6570  0.1652  0.6570  9 Zn 2.55-2.75, 1 Rh 2.69
Zn  0.6570  0.6570  0.1652  9 Zn 2.55-2.75, 1 Rh 2.69
Zn  0.6585  0.3686  0.9495  8 Zn 2.55-2.79
Zn  0.6585  0.9495  0.3686  8 Zn 2.55-2.79
Zn  0.7635  0.7635  0.7635  1 Rh 2.65, 12 Zn 2.75-2.94
Zn  0.8141  0.3089  0.3089  8 Zn 2.56-2.73, 1 Rh 2.83
Zn  0.9495  0.3686  0.6585  8 Zn 2.55-2.79
Zn  0.9495  0.6585  0.3686  8 Zn 2.55-2.79
Rh  0.5613  0.5613  0.5613  13 Zn 2.65-2.90